Arrangement 1

A plane-wave DFT calculation with PBE-GGA was carried out for a geometry-optimized Pm3Er3Sc structure.

Cell lengths 9.471, 9.471, 5.672 Å; angles 90.00, 90.00, 120.00 degrees
Atoms (fractional coordinates):
1 Pm 0.053 0.246 0.250
2 Pm 0.193 0.947 0.250
3 Pm 0.246 0.193 0.750
4 Pm 0.754 0.807 0.250
5 Pm 0.807 0.053 0.750
6 Pm 0.947 0.754 0.750
7 Er 0.096 0.481 0.750
8 Er 0.384 0.904 0.750
9 Er 0.481 0.384 0.250
10 Er 0.519 0.616 0.750
11 Er 0.616 0.096 0.250
12 Er 0.904 0.519 0.250
13 Sc 0.333 0.667 0.250
14 Sc 0.667 0.333 0.750

Results
crystal system	hexagonal
Fermi-level density of states	1.770	states/eV per atom
total magnetization	0.0	μB/cell

***

Arrangement 2

A plane-wave DFT calculation with PBE-GGA was carried out for a geometry-optimized Pm3Er3Sc structure.

Cell lengths 14.281, 14.281, 14.281 Å; angles 24.97, 24.97, 24.97 degrees
Atoms (fractional coordinates):
1 Pm 0.063 0.731 0.397
2 Pm 0.269 0.603 0.937
3 Pm 0.397 0.063 0.731
4 Pm 0.603 0.937 0.269
5 Pm 0.731 0.397 0.063
6 Pm 0.937 0.269 0.603
7 Er 0.133 0.465 0.800
8 Er 0.200 0.867 0.535
9 Er 0.465 0.800 0.133
10 Er 0.535 0.200 0.867
11 Er 0.800 0.133 0.465
12 Er 0.867 0.535 0.200
13 Sc 0.333 0.333 0.333
14 Sc 0.667 0.667 0.667

Results
crystal system	trigonal
Fermi-level density of states	1.418	states/eV per atom
total magnetization	0.0	μB/cell

***

Energy above the most stable structure, in kJ/mol of atoms: arrangement 1 0.0; arrangement 2 10.8